(1)
## SmBiSO2 (PBE)

Data for crystalline SmBiSO2 at its relaxed geometry.

abc: 4.0649 6.4650 7.7223
angles: 106.37 90.00 90.00
Fractional coordinates of all 10 atoms:
1 O 0.2500 0.4807 0.1309
2 S 0.7500 0.9410 0.2091
3 Bi 0.2500 0.6944 0.4149
4 O 0.7500 0.5118 0.3857
5 O 0.2500 0.4882 0.6143
6 Bi 0.7500 0.3056 0.5851
7 S 0.2500 0.0590 0.7909
8 Sm 0.2500 0.6977 0.9292
9 Sm 0.7500 0.3023 0.0708
10 O 0.7500 0.5193 0.8691

Computed properties:
As for the crystal system: monoclinic. For the uncorrected formation energy, the calculation gives -2024 meV per atom. The calculation puts the density of states at the Fermi level at 0.000 states/eV/atom. The value obtained for the total moment is 0.0 μB/f.u.

***

(2)
## SnBiS2O (PBE)

Data for crystalline SnBiS2O at its relaxed geometry.

abc: 3.8843 3.8843 14.0638
angles: 90.00 90.00 90.00
Fractional coordinates of all 10 atoms:
1 Bi 0.5000 0.0000 0.5926
2 S 0.5000 0.0000 0.3068
3 S 0.0000 0.5000 0.1012
4 Sn 0.0000 0.5000 0.8668
5 Bi 0.0000 0.5000 0.4074
6 S 0.5000 0.0000 0.8988
7 S 0.0000 0.5000 0.6932
8 O 0.5000 0.5000 0.5000
9 O 0.0000 0.0000 0.5000
10 Sn 0.5000 0.0000 0.1332

Computed properties:
As for the crystal system: tetragonal. For the uncorrected formation energy, the calculation gives -654 meV per atom. The calculation puts the density of states at the Fermi level at 0.193 states/eV/atom. The value obtained for the total moment is 0.0 μB/f.u.

***

(3)
## TaBiSO2 (PBE)

Data for crystalline TaBiSO2 at its relaxed geometry.

abc: 4.1769 5.5698 4.1769
angles: 90.00 90.00 90.00
Each line ends with the local moment (μB).
Fractional coordinates of all 5 atoms:
1 Ta 0.5000 0.5000 0.5000  2.03
2 Bi 0.0000 0.0000 0.0000  0.02
3 O 0.5000 0.0000 0.0000  0.04
4 S 0.0000 0.5000 0.0000  -0.07
5 O 0.0000 0.0000 0.5000  0.02

Computed properties:
As for the crystal system: tetragonal. For the uncorrected formation energy, the calculation gives 383 meV per atom. The calculation puts the density of states at the Fermi level at 0.792 states/eV/atom. The value obtained for the total moment is 3.0 μB/f.u.

***

(4)
## TbBiSO2 (PBE)

Data for crystalline TbBiSO2 at its relaxed geometry.

abc: 4.0062 6.3792 7.6667
angles: 105.94 90.00 90.00
Fractional coordinates of all 10 atoms:
1 O 0.7500 0.5067 0.3804
2 O 0.7500 0.5206 0.8726
3 Tb 0.2500 0.6945 0.9285
4 Bi 0.7500 0.3029 0.5881
5 O 0.2500 0.4794 0.1274
6 Tb 0.7500 0.3055 0.0715
7 S 0.2500 0.0584 0.7942
8 S 0.7500 0.9416 0.2058
9 Bi 0.2500 0.6971 0.4119
10 O 0.2500 0.4933 0.6196

Computed properties:
As for the crystal system: monoclinic. For the uncorrected formation energy, the calculation gives -2059 meV per atom. The calculation puts the density of states at the Fermi level at 0.000 states/eV/atom. The value obtained for the total moment is 0.0 μB/f.u.

***

(5)
## TbBi2SO4 (PBE)

Data for crystalline TbBi2SO4 at its relaxed geometry.

abc: 3.8574 3.8574 8.9668
angles: 90.00 90.00 90.00
Each line ends with the local moment (μB).
Fractional coordinates of all 8 atoms:
1 O 0.5000 0.0000 0.8442  0.01
2 Tb 0.0000 0.0000 0.0000  0.00
3 S 0.0000 0.0000 0.5000  0.21
4 O 0.0000 0.5000 0.8442  0.01
5 Bi 0.5000 0.5000 0.2858  0.01
6 O 0.0000 0.5000 0.1558  0.01
7 O 0.5000 0.0000 0.1558  0.01
8 Bi 0.5000 0.5000 0.7142  0.01

Computed properties:
As for the crystal system: tetragonal. For the uncorrected formation energy, the calculation gives -1722 meV per atom. The calculation puts the density of states at the Fermi level at 0.502 states/eV/atom. The value obtained for the total moment is 0.4 μB/f.u.

***

(6)
## BiTeS2O (PBE)

Data for crystalline BiTeS2O at its relaxed geometry.

abc: 3.9850 3.9850 13.3941
angles: 90.00 90.00 90.00
Fractional coordinates of all 10 atoms:
1 S 0.5000 0.0000 0.3037
2 O 0.0000 0.0000 0.5000
3 Bi 0.0000 0.5000 0.4051
4 O 0.5000 0.5000 0.5000
5 S 0.5000 0.0000 0.8899
6 Bi 0.5000 0.0000 0.5949
7 S 0.0000 0.5000 0.6963
8 Te 0.0000 0.5000 0.8782
9 S 0.0000 0.5000 0.1101
10 Te 0.5000 0.0000 0.1218

Computed properties:
As for the crystal system: tetragonal. For the uncorrected formation energy, the calculation gives -457 meV per atom. The calculation puts the density of states at the Fermi level at 0.240 states/eV/atom. The value obtained for the total moment is 0.0 μB/f.u.

***

(7)
## TmBi2SO4 (PBE)

Data for crystalline TmBi2SO4 at its relaxed geometry.

abc: 3.8216 3.8216 8.8613
angles: 90.00 90.00 90.00
Fractional coordinates of all 8 atoms:
1 Tm 0.0000 0.0000 0.0000
2 Bi 0.5000 0.5000 0.2860
3 S 0.0000 0.0000 0.5000
4 O 0.0000 0.5000 0.1524
5 O 0.5000 0.0000 0.8476
6 O 0.5000 0.0000 0.1524
7 O 0.0000 0.5000 0.8476
8 Bi 0.5000 0.5000 0.7140

Computed properties:
As for the crystal system: tetragonal. For the uncorrected formation energy, the calculation gives -1749 meV per atom. The calculation puts the density of states at the Fermi level at 0.477 states/eV/atom. The value obtained for the total moment is 0.0 μB/f.u.

***

What did the second record say?
## SnBiS2O (PBE)

Data for crystalline SnBiS2O at its relaxed geometry.

abc: 3.8843 3.8843 14.0638
angles: 90.00 90.00 90.00
Fractional coordinates of all 10 atoms:
1 Bi 0.5000 0.0000 0.5926
2 S 0.5000 0.0000 0.3068
3 S 0.0000 0.5000 0.1012
4 Sn 0.0000 0.5000 0.8668
5 Bi 0.0000 0.5000 0.4074
6 S 0.5000 0.0000 0.8988
7 S 0.0000 0.5000 0.6932
8 O 0.5000 0.5000 0.5000
9 O 0.0000 0.0000 0.5000
10 Sn 0.5000 0.0000 0.1332

Computed properties:
As for the crystal system: tetragonal. For the uncorrected formation energy, the calculation gives -654 meV per atom. The calculation puts the density of states at the Fermi level at 0.193 states/eV/atom. The value obtained for the total moment is 0.0 μB/f.u.